The following is a DFT calculation (PBE) of Sr2Hf2Al after structural relaxation.

The relative energy among the computed polymorphs is 0.0 meV per atom. Its density is 5.58 g cm⁻³. The calculation puts the total magnetization at 0.40 μB per formula unit. The value obtained for the formation energy from the elements is 2.58 eV per formula unit.

The structure belongs to space group I4/mmm (No. 139); the cell edges are 3.940, 3.940 and 21.446 Å and the angles 90.00°, 90.00° and 90.00°. The inequivalent atoms are Sr at (0.000, 0.000, 0.096), Hf at (0.000, 0.500, 0.250) and Al at (0.000, 0.000, 0.500).



The following is a DFT calculation (PBE) of AcSnTe3Au after structural relaxation.

Its density is 7.60 g cm⁻³. Its uncorrected formation energy is -752 meV/atom. The calculation puts the total magnetization at 0.00 μB per formula unit.

The structure belongs to space group P2_1/m (No. 11); the cell edges are 9.264, 4.475 and 9.887 Å and the angles 90.00°, 99.11° and 90.00°. The inequivalent atoms are Ac at (0.157, 0.250, 0.245), Sn at (0.349, 0.750, 0.848), Te at (0.105, 0.250, 0.872), Te at (0.246, 0.750, 0.507), Te at (0.405, 0.750, 0.161) and Au at (0.077, 0.250, 0.576).



The following is a DFT calculation (PBE) of LaBe2Pt after structural relaxation.

Its density is 8.32 g cm⁻³. The calculation puts the total magnetization at 0.00 μB per formula unit. The value obtained for the formation energy from the elements is -1.32 eV per formula unit.

The structure belongs to space group Pm (No. 6); the cell edges are 3.387, 3.588 and 5.780 Å and the angles 90.00°, 90.57° and 90.00°. The inequivalent atoms are La at (0.000, 0.000, 0.000), Be at (0.494, 0.500, 0.702), Be at (0.495, 0.000, 0.488) and Pt at (0.991, 0.500, 0.454).